(1)
# InWS2Cl

A geometry-optimized InWS2Cl structure (GGA-PBE, the Alexandria database).

* energy above the lowest structure with this stoichiometry: 0 meV per atom
* raw formation energy: -0.22 eV per atom
* magnetic moment: 0.00 μB per formula unit

Cell lengths 4.787, 4.787, 4.960 Å; angles 90.00, 90.00, 90.00 degrees
Space group P4/mmm (No. 123)
One atom of each set of equivalent atoms:
In (0.000, 0.000, 0.000) (multiplicity 1)
W (0.500, 0.500, 0.500) (multiplicity 1)
S (0.000, 0.500, 0.500) (multiplicity 2)
Cl (0.500, 0.500, 0.000) (multiplicity 1)

=====

(2)
# InWSCl2

A geometry-optimized InWSCl2 structure (GGA-PBE, the Alexandria database).

* energy above the lowest structure with this stoichiometry: 0 meV per atom
* raw formation energy: -0.20 eV per atom
* magnetic moment: 1.56 μB per formula unit

Cell lengths 5.094, 5.094, 4.678 Å; angles 90.00, 90.00, 90.00 degrees
Space group P4/mmm (No. 123)
One atom of each set of equivalent atoms:
In (0.000, 0.000, 0.000) (multiplicity 1)
W (0.500, 0.500, 0.500) (multiplicity 1)
S (0.500, 0.500, 0.000) (multiplicity 1)
Cl (0.000, 0.500, 0.500) (multiplicity 2)

=====

(3)
# InWS2Cl

A geometry-optimized InWS2Cl structure (GGA-PBE, the Alexandria database).

* energy above the lowest structure with this stoichiometry: 1274 meV per atom
* raw formation energy: 1.05 eV per atom
* magnetic moment: 3.86 μB per formula unit

Cell lengths 4.928, 4.928, 4.794 Å; angles 90.00, 90.00, 90.00 degrees
Space group P4/mmm (No. 123)
One atom of each set of equivalent atoms:
In (0.000, 0.000, 0.000) (multiplicity 1)
W (0.500, 0.500, 0.500) (multiplicity 1)
S (0.000, 0.500, 0.000) (multiplicity 2)
Cl (0.000, 0.000, 0.500) (multiplicity 1)

=====

(4)
# InWSCl2

A geometry-optimized InWSCl2 structure (GGA-PBE, the Alexandria database).

* energy above the lowest structure with this stoichiometry: 1051 meV per atom
* raw formation energy: 0.85 eV per atom
* magnetic moment: 4.75 μB per formula unit

Cell lengths 4.955, 4.955, 5.268 Å; angles 90.00, 90.00, 90.00 degrees
Space group P4/mmm (No. 123)
One atom of each set of equivalent atoms:
In (0.000, 0.000, 0.000) (multiplicity 1)
W (0.500, 0.500, 0.500) (multiplicity 1)
S (0.000, 0.000, 0.500) (multiplicity 1)
Cl (0.000, 0.500, 0.000) (multiplicity 2)